Entry 1:
A plane-wave DFT calculation with GGA-PBE was carried out for RbMnBe2I8 after structural relaxation.

```
RbMnBe2I8
1.0
3.489 2.014 10.875
-3.489 2.014 10.875
0.000 -4.029 10.875
Rb Mn Be I
1 1 2 8
Cartesian
0.000 0.000 0.000
0.000 0.000 16.312
0.000 0.000 7.818
0.000 0.000 24.807
-2.269 -0.021 14.641
-1.116 -1.975 17.983
0.000 0.000 10.196
1.152 -1.954 14.641
-1.152 1.954 17.983
0.000 0.000 22.429
1.116 1.975 14.641
2.269 0.021 17.983
```

Properties
E, eV per atom: -3.073
Space-group type: R-3, No. 148
Uncorrected formation energy, eV/f.u.: -6.88
Calculated density, g/cm3: 4.25

***

Entry 2:
A plane-wave DFT calculation with GGA-PBE was carried out for MnBeSb2I after structural relaxation.

```
MnBeSb2I
1.0
4.856 0.000 0.000
0.000 4.856 0.000
0.000 0.000 5.510
Mn Be Sb I
1 1 2 1
Cartesian
0.000 0.000 0.000
2.428 2.428 2.755
0.000 2.428 2.755
2.428 0.000 2.755
2.428 2.428 0.000
```

Properties
E, eV per atom: -3.814
Space-group type: P4/mmm, No. 123
Uncorrected formation energy, eV/f.u.: 3.62
Calculated density, g/cm3: 5.55

***

Entry 3:
A plane-wave DFT calculation with GGA-PBE was carried out for MnBeSbI2 after structural relaxation.

```
MnBeSbI2
1.0
5.206 0.000 0.000
0.000 5.206 0.000
0.000 0.000 5.136
Mn Be Sb I
1 1 1 2
Cartesian
0.000 0.000 0.000
2.603 2.603 2.568
2.603 2.603 0.000
0.000 2.603 2.568
2.603 0.000 2.568
```

Properties
E, eV per atom: -3.391
Space-group type: P4/mmm, No. 123
Uncorrected formation energy, eV/f.u.: 3.17
Calculated density, g/cm3: 5.24

***

Entry 4:
A plane-wave DFT calculation with GGA-PBE was carried out for MnBeSbI2 after structural relaxation.

```
MnBeSbI2
1.0
5.448 0.000 0.000
0.000 5.448 0.000
0.000 0.000 4.892
Mn Be Sb I
1 1 1 2
Cartesian
0.000 0.000 0.000
2.724 2.724 2.446
0.000 0.000 2.446
0.000 2.724 0.000
2.724 0.000 0.000
```

Properties
E, eV per atom: -3.056
Space-group type: P4/mmm, No. 123
Uncorrected formation energy, eV/f.u.: 4.84
Calculated density, g/cm3: 5.03

***

Entry 5:
A plane-wave DFT calculation with GGA-PBE was carried out for MnBeSb2I after structural relaxation.

```
MnBeSb2I
1.0
4.961 0.000 0.000
0.000 4.961 0.000
0.000 0.000 5.745
Mn Be Sb I
1 1 2 1
Cartesian
0.000 0.000 0.000
2.480 2.480 2.872
0.000 2.480 0.000
2.480 0.000 0.000
0.000 0.000 2.872
```

Properties
E, eV per atom: -3.680
Space-group type: P4/mmm, No. 123
Uncorrected formation energy, eV/f.u.: 4.29
Calculated density, g/cm3: 5.10

***

Entry 6:
A plane-wave DFT calculation with GGA-PBE was carried out for MnBe2SiI after structural relaxation.

```
MnBe2SiI
1.0
4.282 0.000 0.000
0.000 4.282 0.000
0.000 0.000 5.231
Mn Be Si I
1 2 1 1
Cartesian
0.000 0.000 0.000
0.000 2.141 2.616
2.141 0.000 2.616
0.000 0.000 2.616
2.141 2.141 0.000
```

Properties
E, eV per atom: -4.083
Space-group type: P4/mmm, No. 123
Uncorrected formation energy, eV/f.u.: 3.18
Calculated density, g/cm3: 3.95